# 1
Below is a relaxed structure of GaBiSb, with properties calculated at the GGA-PBE level.

```
data_GaBiSb
_symmetry_space_group_name_H-M 'P 3 m 1'
_symmetry_Int_Tables_number 156
_symmetry_space_group_name_Hall 'P 3 -2"'
_cell_length_a 5.4565
_cell_length_b 5.4565
_cell_length_c 3.2740
_cell_angle_alpha 90.00
_cell_angle_beta 90.00
_cell_angle_gamma 120.00
loop_
_atom_site_label
_atom_site_type_symbol
_atom_site_fract_x
_atom_site_fract_y
_atom_site_fract_z
Ga1 Ga 0.0000 0.0000 0.0000
Bi1 Bi 0.6667 0.3333 0.4896
Sb1 Sb 0.3333 0.6667 0.5225
```

Calculated values
ΔE_f (raw) ... 113.1 meV/atom
Density of states at the Fermi level ... 0.99 states/eV/f.u.
Total moment ... 0.000 μB/f.u.
DFT total energy ... -10.7 eV per formula unit
E above lowest polymorph ... 0.019 eV/atom

# 2
Below is a relaxed structure of SmY2Tm3S6, with properties calculated at the GGA-PBE level.

```
data_SmY2Tm3S6
_symmetry_space_group_name_H-M 'C 1 2/m 1'
_symmetry_Int_Tables_number 12
_symmetry_space_group_name_Hall '-C 2y'
_cell_length_a 16.995
_cell_length_b 3.879
_cell_length_c 7.841
_cell_angle_alpha 90.00
_cell_angle_beta 103.87
_cell_angle_gamma 90.00
loop_
_atom_site_label
_atom_site_type_symbol
_atom_site_fract_x
_atom_site_fract_y
_atom_site_fract_z
Sm1 Sm 0.000 0.000 0.000
Y1 Y 0.166 0.500 0.331
Tm1 Tm 0.000 0.000 0.500
Tm2 Tm 0.165 0.500 0.834
S1 S 0.001 0.500 0.740
S2 S 0.165 0.000 0.587
S3 S 0.171 0.000 0.080
```

Calculated values
ΔE_f (raw) ... -1969.9 meV/atom
Density of states at the Fermi level ... 5.11 states/eV/f.u.
Total moment ... 0.000 μB/f.u.
DFT total energy ... -79.5 eV per formula unit

# 3
Below is a relaxed structure of HgPW2, with properties calculated at the GGA-PBE level.

```
data_HgPW2
_symmetry_space_group_name_H-M 'A m m 2'
_symmetry_Int_Tables_number 38
_symmetry_space_group_name_Hall 'A 2 -2'
_cell_length_a 4.500
_cell_length_b 2.991
_cell_length_c 10.394
_cell_angle_alpha 90.00
_cell_angle_beta 90.00
_cell_angle_gamma 90.00
loop_
_atom_site_label
_atom_site_type_symbol
_atom_site_fract_x
_atom_site_fract_y
_atom_site_fract_z
Hg1 Hg 0.000 0.000 0.000
P1 P 0.500 0.000 0.657
W1 W 0.000 0.000 0.737
W2 W 0.500 0.000 0.342
```

Calculated values
Density of states at the Fermi level ... 2.42 states/eV/f.u.
Total moment ... 0.000 μB/f.u.
DFT total energy ... -29.9 eV per formula unit
DFT formation energy ... 0.4350 eV per atom
E above lowest polymorph ... 0.128 eV/atom

# 4
Below is a relaxed structure of TcMoSe2, with properties calculated at the GGA-PBE level.

```
data_TcMoSe2
_symmetry_space_group_name_H-M 'F m -3 m'
_symmetry_Int_Tables_number 225
_symmetry_space_group_name_Hall '-F 4 2 3'
_cell_length_a 6.267
_cell_length_b 6.267
_cell_length_c 6.267
_cell_angle_alpha 90.00
_cell_angle_beta 90.00
_cell_angle_gamma 90.00
loop_
_atom_site_label
_atom_site_type_symbol
_atom_site_fract_x
_atom_site_fract_y
_atom_site_fract_z
Tc1 Tc 0.000 0.000 0.000
Mo1 Mo 0.000 0.000 0.500
Se1 Se 0.250 0.250 0.250
```

Calculated values
ΔE_f (raw) ... 130.9 meV/atom
Density of states at the Fermi level ... 3.09 states/eV/f.u.
Total moment ... 0.000 μB/f.u.
DFT total energy ... -27.6 eV per formula unit
E above lowest polymorph ... 0.317 eV/atom

# 5
Below is a relaxed structure of AcPrCoCu, with properties calculated at the GGA-PBE level.

```
data_AcPrCoCu
_symmetry_space_group_name_H-M 'A m m 2'
_symmetry_Int_Tables_number 38
_symmetry_space_group_name_Hall 'A 2 -2'
_cell_length_a 4.463
_cell_length_b 4.053
_cell_length_c 10.889
_cell_angle_alpha 90.00
_cell_angle_beta 90.00
_cell_angle_gamma 90.00
loop_
_atom_site_label
_atom_site_type_symbol
_atom_site_fract_x
_atom_site_fract_y
_atom_site_fract_z
Ac1 Ac 0.000 0.000 0.000
Pr1 Pr 0.500 0.000 0.723
Co1 Co 0.000 0.000 0.289
Cu1 Cu 0.500 0.000 0.420
```

Calculated values
Density of states at the Fermi level ... 4.24 states/eV/f.u.
Total moment ... 0.001 μB/f.u.
DFT total energy ... -20.2 eV per formula unit
DFT formation energy ... -0.0351 eV per atom
E above lowest polymorph ... 0.000 eV/atom

# 6
Below is a relaxed structure of LaIn2OsO8, with properties calculated at the GGA-PBE level.

```
data_LaIn2OsO8
_symmetry_space_group_name_H-M 'P 1 2/m 1'
_symmetry_Int_Tables_number 10
_symmetry_space_group_name_Hall '-P 2y'
_cell_length_a 4.957
_cell_length_b 6.832
_cell_length_c 4.973
_cell_angle_alpha 90.00
_cell_angle_beta 90.02
_cell_angle_gamma 90.00
loop_
_atom_site_label
_atom_site_type_symbol
_atom_site_fract_x
_atom_site_fract_y
_atom_site_fract_z
La1 La 0.000 0.000 0.000
In1 In 0.500 0.253 0.500
Os1 Os 0.000 0.500 0.000
O1 O 0.190 0.301 0.814
O2 O 0.277 0.500 0.281
O3 O 0.315 0.000 0.320
```

Calculated values
ΔE_f (raw) ... -1637.4 meV/atom
Density of states at the Fermi level ... 5.21 states/eV/f.u.
Total moment ... 1.022 μB/f.u.
DFT total energy ... -80.9 eV per formula unit

# 7
Below is a relaxed structure of KBa2LaRu, with properties calculated at the GGA-PBE level.

```
data_KBa2LaRu
_symmetry_space_group_name_H-M 'P 4/m m m'
_symmetry_Int_Tables_number 123
_symmetry_space_group_name_Hall '-P 4 2'
_cell_length_a 6.591
_cell_length_b 6.591
_cell_length_c 5.226
_cell_angle_alpha 90.00
_cell_angle_beta 90.00
_cell_angle_gamma 90.00
loop_
_atom_site_label
_atom_site_type_symbol
_atom_site_fract_x
_atom_site_fract_y
_atom_site_fract_z
K1 K 0.000 0.000 0.000
Ba1 Ba 0.000 0.500 0.500
La1 La 0.500 0.500 0.000
Ru1 Ru 0.500 0.500 0.500
```

Calculated values
Density of states at the Fermi level ... 4.89 states/eV/f.u.
Total moment ... 0.003 μB/f.u.
DFT total energy ... -18.7 eV per formula unit
DFT formation energy ... 0.0971 eV per atom

# 8
Below is a relaxed structure of Na2SrSnHg, with properties calculated at the GGA-PBE level.

```
data_Na2SrSnHg
_symmetry_space_group_name_H-M 'P 4/m m m'
_symmetry_Int_Tables_number 123
_symmetry_space_group_name_Hall '-P 4 2'
_cell_length_a 5.581
_cell_length_b 5.581
_cell_length_c 5.697
_cell_angle_alpha 90.00
_cell_angle_beta 90.00
_cell_angle_gamma 90.00
loop_
_atom_site_label
_atom_site_type_symbol
_atom_site_fract_x
_atom_site_fract_y
_atom_site_fract_z
Na1 Na 0.000 0.500 0.000
Sr1 Sr 0.000 0.000 0.500
Sn1 Sn 0.500 0.500 0.500
Hg1 Hg 0.500 0.500 0.000
```

Calculated values
Density of states at the Fermi level ... 2.61 states/eV/f.u.
Total moment ... 0.000 μB/f.u.
DFT total energy ... -9.0 eV per formula unit
DFT formation energy ... -0.0722 eV per atom

# 9
Below is a relaxed structure of Cs2BaLiF6, with properties calculated at the GGA-PBE level.

```
data_Cs2BaLiF6
_symmetry_space_group_name_H-M 'F m -3 m'
_symmetry_Int_Tables_number 225
_symmetry_space_group_name_Hall '-F 4 2 3'
_cell_length_a 9.308
_cell_length_b 9.308
_cell_length_c 9.308
_cell_angle_alpha 90.00
_cell_angle_beta 90.00
_cell_angle_gamma 90.00
loop_
_atom_site_label
_atom_site_type_symbol
_atom_site_fract_x
_atom_site_fract_y
_atom_site_fract_z
Cs1 Cs 0.250 0.250 0.250
Ba1 Ba 0.000 0.000 0.000
Li1 Li 0.000 0.000 0.500
F1 F 0.000 0.000 0.272
```

Calculated values
ΔE_f (raw) ... -2742.5 meV/atom
Density of states at the Fermi level ... 30.83 states/eV/f.u.
Total moment ... 1.000 μB/f.u.
DFT total energy ... -44.2 eV per formula unit

# 10
Below is a relaxed structure of YWAu4, with properties calculated at the GGA-PBE level.

```
data_YWAu4
_symmetry_space_group_name_H-M 'F -4 3 m'
_symmetry_Int_Tables_number 216
_symmetry_space_group_name_Hall 'F -4 2 3'
_cell_length_a 7.815
_cell_length_b 7.815
_cell_length_c 7.815
_cell_angle_alpha 90.00
_cell_angle_beta 90.00
_cell_angle_gamma 90.00
loop_
_atom_site_label
_atom_site_type_symbol
_atom_site_fract_x
_atom_site_fract_y
_atom_site_fract_z
Y1 Y 0.000 0.000 0.000
W1 W 0.250 0.250 0.250
Au1 Au 0.125 0.125 0.625
```

Calculated values
Density of states at the Fermi level ... 5.08 states/eV/f.u.
Total moment ... 3.444 μB/f.u.
DFT total energy ... -31.2 eV per formula unit
DFT formation energy ... 0.2195 eV per atom